1.
An optimized crystal structure of Re2SiTcP. Source: Alexandria, functional PBE-GGA.

Summary:
Uncorrected formation energy   1.624 eV/atom

Unit cell a=4.4673 b=4.4673 c=4.2887 alpha=90.00 beta=90.00 gamma=90.00
With the nearest neighbours (Å) after each atom.
Atoms (fractional coordinates):
Re1 0.0000 0.5000 0.0000  2 Si 2.23
Re2 0.5000 0.0000 0.0000  2 Si 2.23
Si1 0.0000 0.0000 0.0000  2 P 2.14, 4 Re 2.23
Tc1 0.5000 0.5000 0.5000  8 Re 3.10, 4 P 3.16
P1 0.0000 0.0000 0.5000  2 Si 2.14



2.
An optimized crystal structure of Re2SnP. Source: Alexandria, functional PBE-GGA.

Summary:
Energy above the most stable polymorph in this dataset   4.46 kJ per mole of atoms

Unit cell a=4.1926 b=4.1926 c=17.0569 alpha=90.00 beta=90.00 gamma=90.00
With the nearest neighbours (Å) after each atom.
Atoms (fractional coordinates):
Re1 0.1611 0.2500 0.1250  2 P 2.47, 2 Re 2.49
Re2 0.2500 0.6611 0.3750  2 P 2.47, 2 Re 2.49
Re3 0.2500 0.8389 0.8750  2 P 2.47, 2 Re 2.49
Re4 0.3389 0.2500 0.6250  2 P 2.47, 2 Re 2.49
Re5 0.6611 0.7500 0.6250  2 P 2.47, 2 Re 2.49
Re6 0.7500 0.1611 0.8750  2 P 2.47, 2 Re 2.49
Re7 0.7500 0.3389 0.3750  2 P 2.47, 2 Re 2.49
Re8 0.8389 0.7500 0.1250  2 P 2.47, 2 Re 2.49
Sn1 0.0000 0.0000 0.5000  4 Re 2.77, 4 P 2.96
Sn2 0.0000 0.5000 0.7500  4 Re 2.77, 4 P 2.96
Sn3 0.5000 0.0000 0.2500  4 Re 2.77, 4 P 2.96
Sn4 0.5000 0.5000 0.0000  4 Re 2.77, 4 P 2.96
P1 0.0000 0.0000 0.0000  4 Re 2.47
P2 0.0000 0.5000 0.2500  4 Re 2.47
P3 0.5000 0.0000 0.7500  4 Re 2.47
P4 0.5000 0.5000 0.5000  4 Re 2.47



3.
An optimized crystal structure of Re2SnP2. Source: Alexandria, functional PBE-GGA.

Summary:
Total energy   -7.901 eV/atom

Unit cell a=3.7330 b=3.7330 c=11.7499 alpha=90.00 beta=90.00 gamma=90.00
With the nearest neighbours (Å) after each atom.
Atoms (fractional coordinates):
Re1 0.0000 0.0000 0.1236  4 P 2.39
Re2 0.0000 0.0000 0.8764  4 P 2.39
Re3 0.5000 0.5000 0.3764  4 P 2.39
Re4 0.5000 0.5000 0.6236  4 P 2.39
Sn1 0.0000 0.0000 0.5000  8 Re 3.01
Sn2 0.5000 0.5000 0.0000  8 Re 3.01
P1 0.0000 0.5000 0.2500  4 Re 2.39, 4 P 2.64
P2 0.0000 0.5000 0.7500  4 Re 2.39, 4 P 2.64
P3 0.5000 0.0000 0.2500  4 Re 2.39, 4 P 2.64
P4 0.5000 0.0000 0.7500  4 Re 2.39, 4 P 2.64



4.
An optimized crystal structure of Re3SnP. Source: Alexandria, functional PBE-GGA.

Summary:
Energy above the most stable polymorph in this dataset   217.04 kJ per mole of atoms

Unit cell a=4.8648 b=4.8648 c=4.8648 alpha=90.00 beta=90.00 gamma=90.00
With the nearest neighbours (Å) after each atom.
Atoms (fractional coordinates):
Re1 0.0000 0.0000 0.5000  2 Sn 2.43
Re2 0.0000 0.5000 0.0000  2 Sn 2.43
Re3 0.5000 0.0000 0.0000  2 Sn 2.43
Sn1 0.0000 0.0000 0.0000  6 Re 2.43
P1 0.5000 0.5000 0.5000  12 Re 3.44



5.
An optimized crystal structure of ReSnP. Source: Alexandria, functional PBE-GGA.

Summary:
Total energy   -7.205 eV/atom

Unit cell a=5.6611 b=6.6701 c=6.5109 alpha=90.00 beta=107.50 gamma=90.00
With the nearest neighbours (Å) after each atom.
Atoms (fractional coordinates):
Re1 0.1648 0.0226 0.2056  3 P 2.32-2.33
Re2 0.1648 0.4774 0.7056  3 P 2.32-2.33
Re3 0.8352 0.5226 0.2944  3 P 2.32-2.33
Re4 0.8352 0.9774 0.7944  3 P 2.32-2.33
Sn1 0.3173 0.6274 0.1362  3 Re 2.85-2.89, 3 P 2.86-3.15
Sn2 0.3173 0.8726 0.6362  3 Re 2.85-2.89, 3 P 2.86-3.15
Sn3 0.6827 0.1274 0.3638  3 Re 2.85-2.89, 3 P 2.86-3.15
Sn4 0.6827 0.3726 0.8638  3 Re 2.85-2.89, 3 P 2.86-3.15
P1 0.1860 0.1771 0.8921  3 Re 2.32-2.33
P2 0.1860 0.3229 0.3921  3 Re 2.32-2.33
P3 0.8140 0.6771 0.6079  3 Re 2.32-2.33
P4 0.8140 0.8229 0.1079  3 Re 2.32-2.33



6.
An optimized crystal structure of ReSnP3. Source: Alexandria, functional PBE-GGA.

Summary:
Energy above the most stable polymorph in this dataset   0.00 kJ per mole of atoms

Unit cell a=4.6947 b=4.6947 c=4.6947 alpha=90.00 beta=90.00 gamma=90.00
With the nearest neighbours (Å) after each atom.
Atoms (fractional coordinates):
Re1 0.0000 0.0000 0.0000  6 P 2.35
Sn1 0.5000 0.5000 0.5000  12 P 3.32
P1 0.0000 0.0000 0.5000  2 Re 2.35
P2 0.0000 0.5000 0.0000  2 Re 2.35
P3 0.5000 0.0000 0.0000  2 Re 2.35